CaTlCo2 | SCAN | single point on PBEsol structure

Computed properties:
ΔE_f = 0.3993 eV per atom
E = -28.7582 eV/atom
density of states at the Fermi level = 2.5 states/eV/cell
spin magnetization = 0.68 μB/atom
space group = No. 119
volume = 67.28 Å³ per cell

Lattice parameters (Å, degrees): 3.981 3.981 5.093 113.01 113.01 90.00
Sites, in units of the cell vectors:
Tl 0.500 0.500 0.000
Co 0.000 0.000 0.000
Co 0.750 0.250 0.500
Ca 0.250 0.750 0.500